(1)
Here is RbSrSb2I after structural relaxation from Alexandria via LeMat-Bulk. Energies are from PBE.

```
RbSrSb2I
1.0
6.3338 0.0000 0.0000
0.0000 6.3338 0.0000
0.0000 0.0000 6.5008
I Sb Rb Sr
1 2 1 1
Direct
0.0000 0.0000 0.5000 I
0.0000 0.5000 0.0000 Sb
0.5000 0.0000 0.0000 Sb
0.5000 0.5000 0.5000 Rb
0.0000 0.0000 0.0000 Sr
```

The energy above the most stable polymorph in this dataset is 0.00 eV per formula unit. Its symmetry is P4/mmm (123).

---

(2)
Here is RbSrSbI2 after structural relaxation from Alexandria via LeMat-Bulk. Energies are from PBE.

```
RbSrSbI2
1.0
6.4820 0.0000 0.0000
0.0000 6.4820 0.0000
0.0000 0.0000 6.6063
I Sb Rb Sr
2 1 1 1
Direct
0.0000 0.5000 0.0000 I
0.5000 0.0000 0.0000 I
0.0000 0.0000 0.5000 Sb
0.5000 0.5000 0.5000 Rb
0.0000 0.0000 0.0000 Sr
```

The energy above the most stable polymorph in this dataset is 0.00 eV per formula unit. Its symmetry is P4/mmm (123).

---

(3)
Here is RbSrSb2I after structural relaxation from Alexandria via LeMat-Bulk. Energies are from PBE.

```
RbSrSb2I
1.0
6.0406 0.0000 0.0000
0.0000 6.0406 0.0000
0.0000 0.0000 6.4223
I Sb Rb Sr
1 2 1 1
Direct
0.0000 0.0000 0.5000 I
0.0000 0.5000 0.0000 Sb
0.5000 0.0000 0.0000 Sb
0.0000 0.0000 0.0000 Rb
0.5000 0.5000 0.5000 Sr
```

The energy above the most stable polymorph in this dataset is 2.63 eV per formula unit. Its symmetry is P4/mmm (123).

---

(4)
Here is RbSrSbI2 after structural relaxation from Alexandria via LeMat-Bulk. Energies are from PBE.

```
RbSrSbI2
1.0
6.4103 0.0000 0.0000
0.0000 6.4103 0.0000
0.0000 0.0000 6.2987
I Sb Rb Sr
2 1 1 1
Direct
0.0000 0.5000 0.0000 I
0.5000 0.0000 0.0000 I
0.0000 0.0000 0.5000 Sb
0.0000 0.0000 0.0000 Rb
0.5000 0.5000 0.5000 Sr
```

The energy above the most stable polymorph in this dataset is 3.09 eV per formula unit. Its symmetry is P4/mmm (123).

---

(5)
Here is Rb2TaSbI after structural relaxation from Alexandria via LeMat-Bulk. Energies are from PBE.

```
Rb2TaSbI
1.0
-6.0757 2.3963 0.8072
-1.2281 -1.4694 -4.8814
-2.0046 -5.8451 2.2637
I Sb Rb Ta
1 1 2 1
Direct
0.0000 0.0000 0.0000 I
0.5000 0.5000 0.5000 Sb
0.0000 0.0000 0.5000 Rb
0.5000 0.0000 0.0000 Rb
0.0000 0.5000 0.0000 Ta
```

Its symmetry is P4/mmm (123).

---

(6)
Here is RbTaSb2I after structural relaxation from Alexandria via LeMat-Bulk. Energies are from PBE.

```
RbTaSb2I
1.0
-2.2396 -3.1368 4.5456
5.1954 0.4672 2.8822
-1.9209 5.1737 2.6239
I Sb Rb Ta
1 2 1 1
Direct
0.0000 0.0000 0.5000 I
0.0000 0.5000 0.0000 Sb
0.5000 0.0000 0.0000 Sb
0.0000 0.0000 0.0000 Rb
0.5000 0.5000 0.5000 Ta
```

The energy above the most stable polymorph in this dataset is 10.53 eV per formula unit. Its symmetry is P4/mmm (123).

---

(7)
Here is RbTaSb2I after structural relaxation from Alexandria via LeMat-Bulk. Energies are from PBE.

```
RbTaSb2I
1.0
-0.3471 -0.8867 5.2812
-3.7020 -3.7844 -0.8787
4.4478 -4.2531 -0.4217
I Sb Rb Ta
1 2 1 1
Direct
0.0000 0.0000 0.5000 I
0.0000 0.5000 0.0000 Sb
0.5000 0.0000 0.0000 Sb
0.5000 0.5000 0.5000 Rb
0.0000 0.0000 0.0000 Ta
```

The energy above the most stable polymorph in this dataset is 0.00 eV per formula unit. Its symmetry is P4/mmm (123).

---

(8)
Here is RbTcSbI2 after structural relaxation from Alexandria via LeMat-Bulk. Energies are from PBE.

```
RbTcSbI2
1.0
-4.7393 4.7053 1.5741
-3.6615 -4.7857 3.2816
3.3111 1.4108 5.7518
I Sb Tc Rb
2 1 1 1
Direct
0.0000 0.5000 0.0000 I
0.5000 0.0000 0.0000 I
0.0000 0.0000 0.5000 Sb
0.5000 0.5000 0.5000 Tc
0.0000 0.0000 0.0000 Rb
```

The energy above the most stable polymorph in this dataset is 7.03 eV per formula unit. Its symmetry is P4/mmm (123).

---

(9)
Here is RbTcSbI2 after structural relaxation from Alexandria via LeMat-Bulk. Energies are from PBE.

```
RbTcSbI2
1.0
-3.2137 1.1436 4.8335
4.6651 -1.2813 3.4049
1.4730 4.8907 -0.1778
I Sb Tc Rb
2 1 1 1
Direct
0.0000 0.5000 0.0000 I
0.5000 0.0000 0.0000 I
0.0000 0.0000 0.5000 Sb
0.0000 0.0000 0.0000 Tc
0.5000 0.5000 0.5000 Rb
```

The energy above the most stable polymorph in this dataset is 0.00 eV per formula unit. Its symmetry is P4/mmm (123).

---

(10)
Here is RbSb2TeI after structural relaxation from Alexandria via LeMat-Bulk. Energies are from PBE.

```
RbSb2TeI
1.0
7.3095 0.0000 0.0000
0.0000 7.3095 0.0000
0.0000 0.0000 6.5414
I Sb Te Rb
1 2 1 1
Direct
0.0000 0.0000 0.5000 I
0.0000 0.5000 0.0000 Sb
0.5000 0.0000 0.0000 Sb
0.5000 0.5000 0.5000 Te
0.0000 0.0000 0.0000 Rb
```

The energy above the most stable polymorph in this dataset is 4.81 eV per formula unit. Its symmetry is P4/mmm (123).

---

(11)
Here is RbSbTeI2 after structural relaxation from Alexandria via LeMat-Bulk. Energies are from PBE.

```
RbSbTeI2
1.0
-0.0933 -6.1146 2.0528
0.1302 -2.0544 -6.1134
5.7339 -0.0418 0.1361
I Sb Te Rb
2 1 1 1
Direct
0.0000 0.5000 0.0000 I
0.5000 0.0000 0.0000 I
0.0000 0.0000 0.5000 Sb
0.0000 0.0000 0.0000 Te
0.5000 0.5000 0.5000 Rb
```

The energy above the most stable polymorph in this dataset is 1.58 eV per formula unit. Its symmetry is P4/mmm (123).

---

(12)
Here is RbSbTe2I after structural relaxation from Alexandria via LeMat-Bulk. Energies are from PBE.

```
RbSbTe2I
1.0
5.8215 0.0000 0.0000
0.0000 5.8215 0.0000
0.0000 0.0000 6.2841
I Sb Te Rb
1 1 2 1
Direct
0.0000 0.0000 0.5000 I
0.0000 0.0000 0.0000 Sb
0.0000 0.5000 0.0000 Te
0.5000 0.0000 0.0000 Te
0.5000 0.5000 0.5000 Rb
```

The energy above the most stable polymorph in this dataset is 0.00 eV per formula unit. Its symmetry is P4/mmm (123).

---

(13)
Here is RbSbTe2I after structural relaxation from Alexandria via LeMat-Bulk. Energies are from PBE.

```
RbSbTe2I
1.0
-5.2060 -2.8076 1.9584
3.2087 -2.7606 4.5721
-1.2588 5.0971 3.9610
I Sb Te Rb
1 1 2 1
Direct
0.5000 0.5000 0.5000 I
0.0000 0.0000 0.5000 Sb
0.0000 0.5000 0.0000 Te
0.5000 0.0000 0.0000 Te
0.0000 0.0000 0.0000 Rb
```

The energy above the most stable polymorph in this dataset is 7.01 eV per formula unit. Its symmetry is P4/mmm (123).

---

(14)
Here is RbSb2TeI after structural relaxation from Alexandria via LeMat-Bulk. Energies are from PBE.

```
RbSb2TeI
1.0
-3.2886 4.4087 1.4526
-4.4541 -2.4960 -2.5084
-1.9111 -3.7845 7.1594
I Sb Te Rb
1 2 1 1
Direct
0.0000 0.0000 0.5000 I
0.0000 0.5000 0.0000 Sb
0.5000 0.0000 0.0000 Sb
0.0000 0.0000 0.0000 Te
0.5000 0.5000 0.5000 Rb
```

The energy above the most stable polymorph in this dataset is 0.00 eV per formula unit. Its symmetry is P4/mmm (123).

---

(15)
Here is RbSb2TeI after structural relaxation from Alexandria via LeMat-Bulk. Energies are from PBE.

```
RbSb2TeI
1.0
-1.0061 -3.8282 5.7624
-0.7880 -5.7218 -3.9388
6.4523 -1.1419 0.3679
I Sb Te Rb
1 2 1 1
Direct
0.5000 0.5000 0.5000 I
0.0000 0.5000 0.0000 Sb
0.5000 0.0000 0.0000 Sb
0.0000 0.0000 0.5000 Te
0.0000 0.0000 0.0000 Rb
```

The energy above the most stable polymorph in this dataset is 5.51 eV per formula unit. Its symmetry is P4/mmm (123).

---

(16)
Here is RbSbTeI2 after structural relaxation from Alexandria via LeMat-Bulk. Energies are from PBE.

```
RbSbTeI2
1.0
-5.1187 0.1707 -4.7076
1.1598 -6.6922 -1.5037
-4.6351 -1.9201 4.9702
I Sb Te Rb
2 1 1 1
Direct
0.0000 0.5000 0.0000 I
0.5000 0.0000 0.0000 I
0.0000 0.0000 0.5000 Sb
0.5000 0.5000 0.5000 Te
0.0000 0.0000 0.0000 Rb
```

The energy above the most stable polymorph in this dataset is 5.70 eV per formula unit. Its symmetry is P4/mmm (123).

---

(17)
Here is RbSbTe2I after structural relaxation from Alexandria via LeMat-Bulk. Energies are from PBE.

```
RbSbTe2I
1.0
-1.6561 6.0173 -1.3485
-3.2993 -2.0442 -5.0700
-5.1468 -0.6108 3.5956
I Sb Te Rb
1 1 2 1
Direct
0.0000 0.0000 0.5000 I
0.5000 0.5000 0.5000 Sb
0.0000 0.5000 0.0000 Te
0.5000 0.0000 0.0000 Te
0.0000 0.0000 0.0000 Rb
```

The energy above the most stable polymorph in this dataset is 6.20 eV per formula unit. Its symmetry is P4/mmm (123).

---

(18)
Here is RbSbTeI2 after structural relaxation from Alexandria via LeMat-Bulk. Energies are from PBE.

```
RbSbTeI2
1.0
6.2262 0.0000 0.0000
0.0000 6.2262 0.0000
0.0000 0.0000 5.7822
I Sb Te Rb
2 1 1 1
Direct
0.0000 0.5000 0.0000 I
0.5000 0.0000 0.0000 I
0.0000 0.0000 0.0000 Sb
0.0000 0.0000 0.5000 Te
0.5000 0.5000 0.5000 Rb
```

The energy above the most stable polymorph in this dataset is 0.00 eV per formula unit. Its symmetry is P4/mmm (123).

---

(19)
Here is RbSbTeI2 after structural relaxation from Alexandria via LeMat-Bulk. Energies are from PBE.

```
RbSbTeI2
1.0
6.4224 0.0000 0.0000
0.0000 6.4224 0.0000
0.0000 0.0000 6.4938
I Sb Te Rb
2 1 1 1
Direct
0.0000 0.5000 0.0000 I
0.5000 0.0000 0.0000 I
0.5000 0.5000 0.5000 Sb
0.0000 0.0000 0.5000 Te
0.0000 0.0000 0.0000 Rb
```

The energy above the most stable polymorph in this dataset is 5.81 eV per formula unit. Its symmetry is P4/mmm (123).

---

(20)
Here is RbSbTe2I after structural relaxation from Alexandria via LeMat-Bulk. Energies are from PBE.

```
RbSbTe2I
1.0
-1.0552 -4.3218 4.1439
0.3233 -4.2427 -4.3426
5.8560 -0.5224 0.9463
I Sb Te Rb
1 1 2 1
Direct
0.0000 0.0000 0.0000 I
0.0000 0.0000 0.5000 Sb
0.0000 0.5000 0.0000 Te
0.5000 0.0000 0.0000 Te
0.5000 0.5000 0.5000 Rb
```

The energy above the most stable polymorph in this dataset is 3.15 eV per formula unit. Its symmetry is P4/mmm (123).

---

Computed energy relative to the elements, uncorrected, in the same sequence as the records: -242, -854, 283, -236, 894, 2007, -99, 1303, -103, 1039, -218, -340, 1063, 77, 1179, 605, 900, -535, 626, 289 meV/atom.
Computed E_tot, in the same sequence as the records: -2.73, -2.83, -2.21, -2.21, -3.00, -2.52, -4.62, -2.41, -3.81, -1.74, -2.48, -2.92, -1.52, -2.70, -1.60, -1.66, -1.68, -2.80, -1.64, -2.30 eV per atom.